VASP calculation (GGA+U) on K5Mo2O6 after structural relaxation.

The uncorrected energy is -5.2513 eV/atom. The value obtained for the calculated volume is 587.9 Å³/cell. The crystal system is monoclinic.

Cell lengths 6.7450, 6.7450, 13.5904 Å; angles 98.17, 98.17, 75.13 degrees
Closest atoms and distances in Å follow each position.
Positions (direct):
K (0.0300, 0.9700, 0.7500)  4 O 2.68-2.98
K (0.2098, 0.6722, 0.0135)  4 O 2.72-2.86
K (0.3147, 0.3803, 0.2950)  5 O 2.67-2.96
K (0.3278, 0.7902, 0.4865)  4 O 2.72-2.86
K (0.3803, 0.3147, 0.7950)  5 O 2.67-2.96
K (0.6197, 0.6853, 0.2050)  5 O 2.67-2.96
K (0.6722, 0.2098, 0.5135)  4 O 2.72-2.86
K (0.6853, 0.6197, 0.7050)  5 O 2.67-2.96
K (0.7902, 0.3278, 0.9865)  4 O 2.72-2.86
K (0.9700, 0.0300, 0.2500)  4 O 2.68-2.98
Mo (0.1614, 0.3342, 0.5544)  3 O 1.86-1.91
Mo (0.3342, 0.1614, 0.0544)  3 O 1.86-1.91
Mo (0.6658, 0.8386, 0.9456)  3 O 1.86-1.91
Mo (0.8386, 0.6658, 0.4456)  3 O 1.86-1.91
O (0.0103, 0.2928, 0.6517)  1 Mo 1.87
O (0.1801, 0.2152, 0.9325)  1 Mo 1.86
O (0.2152, 0.1801, 0.4325)  1 Mo 1.86
O (0.2928, 0.0103, 0.1517)  1 Mo 1.87
O (0.3592, 0.4875, 0.6123)  1 Mo 1.91
O (0.4875, 0.3592, 0.1123)  1 Mo 1.91
O (0.5125, 0.6408, 0.8877)  1 Mo 1.91
O (0.6408, 0.5125, 0.3877)  1 Mo 1.91
O (0.7072, 0.9897, 0.8483)  1 Mo 1.87
O (0.7848, 0.8199, 0.5675)  1 Mo 1.86
O (0.8199, 0.7848, 0.0675)  1 Mo 1.86
O (0.9897, 0.7072, 0.3483)  1 Mo 1.87